Compound: CdSnS
Source: the Alexandria database
Functional: PBE-GGA
Structure: relaxed

POSCAR file:
```
CdSnS
1.0
-2.233 -1.746 -2.740
0.130 -1.459 3.661
-4.241 3.191 1.422
S Sn Cd
1 1 1
Cartesian
-4.220 3.176 1.416
-2.745 -0.673 -0.171
-3.620 0.674 2.521
```

Calculated values
* size of the total moment: 0.0 μB/cell
* ΔE_f (raw): -184 meV/atom
* V: 24.66 Å³ per atom
* distance to the lowest polymorph of the same formula: 0.400 eV per formula unit
* total energy: -3.20 eV/atom
* space-group type: P3m1, No. 156